GdZr2Nb | the Alexandria database | GGA-PBE | relaxed; VASP energy = -10.078 eV per atom; symmetry = No. 166; formation enthalpy at 0 K = 0.2340 eV/atom; energy relative to the lowest polymorph listed for this composition = 13.07 kJ/mol of atoms; V = 95 Å³/cell
1.0
1.6161 0.9331 10.4512
-1.6161 0.9331 10.4512
0.0000 -1.8661 10.4512
Gd Zr Nb
1 2 1
Direct
0.0000 0.0000 0.0000
0.2419 0.2419 0.2419
0.7581 0.7581 0.7581
0.5000 0.5000 0.5000

***

CaLa6Dy12 | the Alexandria database | GGA-PBE | relaxed; VASP energy = -4.162 eV per atom; symmetry = No. 166; formation enthalpy at 0 K = 0.4059 eV/atom; V = 681 Å³/cell
1.0
7.8832 4.5513 3.1638
-7.8832 4.5513 3.1638
0.0000 -9.1027 3.1638
Ca La Dy
1 6 12
Direct
0.0000 0.0000 0.0000
0.2229 0.6796 0.6796
0.3204 0.3204 0.7771
0.3204 0.7771 0.3204
0.6796 0.2229 0.6796
0.6796 0.6796 0.2229
0.7771 0.3204 0.3204
0.1078 0.5000 0.8922
0.1078 0.8922 0.5000
0.1907 0.3923 0.3923
0.3923 0.1907 0.3923
0.3923 0.3923 0.1907
0.5000 0.1078 0.8922
0.5000 0.8922 0.1078
0.6077 0.6077 0.8093
0.6077 0.8093 0.6077
0.8093 0.6077 0.6077
0.8922 0.1078 0.5000
0.8922 0.5000 0.1078

***

ScMn2Cl2 | the Alexandria database | GGA-PBE | relaxed; VASP energy = -5.632 eV per atom; symmetry = No. 127; energy relative to the lowest polymorph listed for this composition = 0.00 kJ/mol of atoms; formation energy without anion corrections = 0.0408 eV/atom; V = 170 Å³/cell
1.0
7.0650 0.0000 0.0000
0.0000 7.0650 0.0000
0.0000 0.0000 3.4047
Sc Mn Cl
2 4 4
Direct
0.0000 0.0000 0.0000
0.5000 0.5000 0.0000
0.1519 0.3481 0.5000
0.3481 0.8481 0.5000
0.6519 0.1519 0.5000
0.8481 0.6519 0.5000
0.1586 0.6586 0.0000
0.3414 0.1586 0.0000
0.6586 0.8414 0.0000
0.8414 0.3414 0.0000

***

SrVAu | the Alexandria database | GGA-PBE | relaxed; VASP energy = -4.654 eV per atom; symmetry = No. 8; formation enthalpy at 0 K = 0.0389 eV/atom; energy relative to the lowest polymorph listed for this composition = 6.68 kJ/mol of atoms; V = 157 Å³/cell
1.0
7.4629 -2.1580 0.0000
7.4629 2.1580 0.0000
-1.6409 0.0000 4.8729
Sr V Au
2 2 2
Direct
0.0000 0.0000 0.0000
0.2172 0.2172 0.7457
0.1447 0.5717 0.3727
0.5717 0.1447 0.3727
0.5391 0.5391 0.5126
0.6856 0.6856 0.2388